Here is an optimized crystal structure of Mn4Nb5Cr from Alexandria via LeMat-Bulk. Energies are from PBE.

Cell lengths 3.0761, 3.0761, 15.4016 Å; angles 90.00, 90.00, 90.00 degrees
Last column: nearest neighbours and their distance in Å.
Fractional coordinates of all 10 atoms:
Mn (0.0000, 0.0000, 0.5994)  8 Nb 2.66-2.67
Mn (0.0000, 0.0000, 0.4006)  8 Nb 2.66-2.67
Mn (0.0000, 0.0000, 0.2021)  8 Nb 2.65-2.68
Mn (0.0000, 0.0000, 0.7979)  8 Nb 2.65-2.68
Cr (0.0000, 0.0000, 0.0000)  8 Nb 2.67
Nb (0.5000, 0.5000, 0.5000)  8 Mn 2.66
Nb (0.5000, 0.5000, 0.6996)  8 Mn 2.65-2.67
Nb (0.5000, 0.5000, 0.8993)  4 Cr 2.67, 4 Mn 2.68
Nb (0.5000, 0.5000, 0.3004)  8 Mn 2.65-2.67
Nb (0.5000, 0.5000, 0.1007)  4 Cr 2.67, 4 Mn 2.68

- Total moment: 0.432 μB per cell
- Energy relative to the elements: -0.09 eV per atom



Here is an optimized crystal structure of CeAlGa2Ni5 from Alexandria via LeMat-Bulk. Energies are from PBE.

Cell lengths 3.9045, 3.9045, 8.7749 Å; angles 90.00, 90.00, 90.00 degrees
Last column: nearest neighbours and their distance in Å.
Fractional coordinates of all 9 atoms:
Ni (0.0000, 0.5000, 0.2866)  2 Ga 2.36
Ni (0.5000, 0.0000, 0.7134)  2 Ga 2.36
Ni (0.0000, 0.5000, 0.7134)  2 Ga 2.36
Ni (0.5000, 0.5000, 0.5000)  8 Ni 2.71, 4 Ce 2.76
Ni (0.5000, 0.0000, 0.2866)  2 Ga 2.36
Ce (0.0000, 0.0000, 0.5000)  12 Ni 2.71-2.76
Ga (0.5000, 0.5000, 0.1349)  4 Ni 2.36, 1 Ga 2.37
Ga (0.5000, 0.5000, 0.8651)  4 Ni 2.36, 1 Ga 2.37
Al (0.0000, 0.0000, 0.0000)  8 Ga 3.00, 8 Ni 3.18

- Total moment: 0.000 μB per cell
- Energy relative to the elements: -0.13 eV per atom



Here is an optimized crystal structure of EuGdErTh from Alexandria via LeMat-Bulk. Energies are from PBE.

Cell lengths 5.7474, 5.7474, 5.7474 Å; angles 60.00, 60.00, 60.00 degrees
Last column: nearest neighbours and their distance in Å.
Fractional coordinates of all 4 atoms:
Eu (0.0000, 0.0000, 0.0000)  4 Er 3.52, 4 Gd 3.52
Er (0.7500, 0.7500, 0.7500)  4 Eu 3.52, 4 Th 3.52
Gd (0.2500, 0.2500, 0.2500)  4 Eu 3.52, 4 Th 3.52
Th (0.5000, 0.5000, 0.5000)  4 Gd 3.52, 4 Er 3.52

- Total moment: 0.973 μB per cell
- Energy relative to the elements: 0.19 eV per atom



Here is an optimized crystal structure of ScBiAu from Alexandria via LeMat-Bulk. Energies are from PBE.

Cell lengths 5.2071, 3.7627, 8.4395 Å; angles 102.88, 107.97, 90.00 degrees
Last column: nearest neighbours and their distance in Å.
Fractional coordinates of all 6 atoms:
Au (0.2492, 0.5000, 0.0000)  2 Au 2.59-2.61, 2 Sc 2.85
Au (0.7508, 0.5000, 0.0000)  2 Au 2.59-2.61, 2 Sc 2.85
Bi (0.3568, 0.8568, 0.7136)  5 Sc 3.03-3.23, 4 Au 3.20
Bi (0.6432, 0.1432, 0.2864)  5 Sc 3.03-3.23, 4 Au 3.20
Sc (0.8372, 0.3372, 0.6744)  2 Au 2.85, 1 Bi 3.03
Sc (0.1628, 0.6628, 0.3256)  2 Au 2.85, 1 Bi 3.03

- Total moment: 0.000 μB per cell
- Energy relative to the elements: -0.30 eV per atom



Here is an optimized crystal structure of Na2BeH5 from Alexandria via LeMat-Bulk. Energies are from PBE.

Cell lengths 3.5597, 5.6074, 9.2557 Å; angles 90.00, 90.00, 108.51 degrees
Last column: nearest neighbours and their distance in Å.
Fractional coordinates of all 16 atoms:
H (0.6729, 0.3458, 0.2500)  2 Be 1.78
H (0.0551, 0.1101, 0.1403)  1 Be 1.55
H (0.9449, 0.8899, 0.8597)  1 Be 1.55
H (0.0551, 0.1101, 0.3597)  1 Be 1.55
H (0.2599, 0.5197, 0.3711)  1 Be 1.51
H (0.3271, 0.6542, 0.7500)  2 Be 1.78
H (0.9449, 0.8899, 0.6403)  1 Be 1.55
H (0.2599, 0.5197, 0.1289)  1 Be 1.51
H (0.7401, 0.4803, 0.6289)  1 Be 1.51
H (0.7401, 0.4803, 0.8711)  1 Be 1.51
Na (0.1409, 0.2817, 0.5774)  5 H 2.12-2.29
Na (0.8591, 0.7183, 0.4226)  5 H 2.12-2.29
Na (0.8591, 0.7183, 0.0774)  5 H 2.12-2.29
Na (0.1409, 0.2817, 0.9226)  5 H 2.12-2.29
Be (0.8350, 0.6700, 0.7500)  4 H 1.51-1.55
Be (0.1650, 0.3300, 0.2500)  4 H 1.51-1.55

- Total moment: 0.425 μB per cell
- Total DFT energy (no corrections): -43.9 eV/cell



Here is an optimized crystal structure of KZr2Au from Alexandria via LeMat-Bulk. Energies are from PBE.

Cell lengths 3.1153, 3.1153, 10.9804 Å; angles 90.00, 90.00, 89.95 degrees
Last column: nearest neighbours and their distance in Å.
Fractional coordinates of all 4 atoms:
Zr (0.0000, 0.0000, 0.0684)  4 Au 2.97, 4 Zr 3.12
Zr (0.0000, 0.0000, 0.4316)  4 Au 2.97, 4 Zr 3.12
Au (0.5000, 0.5000, 0.2500)  8 Zr 2.97, 4 Au 3.12
K (0.5000, 0.5000, 0.7500)  4 K 3.12

- Total moment: 0.000 μB per cell
- Energy above the lowest structure with this stoichiometry: 0.2629 eV/atom
- Energy relative to the elements: 0.22 eV per atom